DFT (PBE) results for an optimized crystal structure of Ba2Fe.

Cell: 6.781 6.781 6.781 Å, 105.75 105.75 117.21°
Last column: magnetic moment on the atom in μB.
Positions (direct):
Ba 0.183 0.317 0.500  -0.12
Ba 0.817 0.683 0.500  -0.12
Ba 0.683 0.183 0.865  -0.12
Ba 0.317 0.817 0.135  -0.12
Fe 0.750 0.750 0.000  2.80
Fe 0.250 0.250 0.000  2.80

formation energy from the elements: 598 meV/atom



DFT (PBE) results for an optimized crystal structure of La4Dy2Y3.

Cell: 5.185 8.112 8.144 Å, 107.41 108.56 90.00°
Positions (direct):
La 0.555 0.330 0.110
La 0.777 0.668 0.554
La 0.445 0.670 0.890
La 0.223 0.332 0.446
Dy 0.332 0.000 0.664
Dy 0.668 0.000 0.336
Y 0.888 0.329 0.776
Y 0.112 0.671 0.224
Y 0.000 0.000 0.000

E above lowest polymorph: 0 meV per atom
formation energy from the elements: 29 meV/atom



DFT (PBE) results for an optimized crystal structure of Ta6Ti8Al.

Cell: 7.076 7.076 7.076 Å, 62.31 62.31 62.31°
Positions (direct):
Ta 0.937 0.466 0.724
Ta 0.276 0.063 0.534
Ta 0.534 0.276 0.063
Ta 0.466 0.724 0.937
Ta 0.724 0.937 0.466
Ta 0.063 0.534 0.276
Ti 0.131 0.667 0.812
Ti 0.188 0.869 0.333
Ti 0.333 0.188 0.869
Ti 0.581 0.581 0.581
Ti 0.419 0.419 0.419
Ti 0.667 0.812 0.131
Ti 0.812 0.131 0.667
Ti 0.869 0.333 0.188
Al 0.000 0.000 0.000

formation energy from the elements: 11 meV/atom



DFT (PBE) results for an optimized crystal structure of Ba2NpPdS5.

Cell: 4.099 9.219 12.883 Å, 90.00 90.00 102.85°
Last column: magnetic moment on the atom in μB.
Positions (direct):
Ba 0.881 0.762 0.833  0.00
Ba 0.119 0.239 0.696  0.00
Ba 0.119 0.238 0.333  0.00
Ba 0.881 0.761 0.196  0.00
Np 0.805 0.609 0.519  2.88
Np 0.195 0.391 0.019  2.88
Pd 0.562 0.124 0.932  -0.11
Pd 0.438 0.876 0.432  -0.11
S 0.340 0.680 0.016  -0.07
S 0.698 0.397 0.883  -0.11
S 0.500 0.000 0.767  -0.01
S 0.301 0.602 0.657  -0.10
S 0.950 0.900 0.520  -0.10
S 0.660 0.320 0.516  -0.07
S 0.302 0.603 0.383  -0.11
S 0.500 0.000 0.267  -0.01
S 0.699 0.398 0.157  -0.10
S 0.050 0.100 0.020  -0.10

raw formation energy: -1408 meV/atom



DFT (PBE) results for an optimized crystal structure of ScTlZn2.

Cell: 5.160 5.160 5.112 Å, 77.24 77.24 38.62°
Positions (direct):
Sc 0.750 0.750 0.750
Tl 0.250 0.250 0.250
Zn 0.005 0.005 0.977
Zn 0.495 0.495 0.523

E above lowest polymorph: 125 meV per atom
formation energy from the elements: -45 meV/atom



DFT (PBE) results for an optimized crystal structure of Cd2GaAgSe4.

Cell: 8.095 8.095 7.471 Å, 64.76 64.76 30.46°
Positions (direct):
Cd 0.008 0.008 0.637
Cd 0.488 0.488 0.185
Ga 0.749 0.749 0.607
Ag 0.255 0.255 0.070
Se 0.066 0.066 0.253
Se 0.571 0.571 0.770
Se 0.818 0.818 0.839
Se 0.295 0.295 0.389

raw formation energy: -497 meV/atom
E above lowest polymorph: 42 meV per atom



DFT (PBE) results for an optimized crystal structure of CaGa2Tc2.

Cell: 7.751 7.751 2.902 Å, 90.00 90.00 90.00°
Positions (direct):
Ca 0.000 0.000 0.000
Ca 0.500 0.500 0.000
Tc 0.390 0.890 0.000
Tc 0.890 0.610 0.000
Tc 0.610 0.110 0.000
Tc 0.110 0.390 0.000
Ga 0.180 0.680 0.500
Ga 0.680 0.820 0.500
Ga 0.820 0.320 0.500
Ga 0.320 0.180 0.500

E above lowest polymorph: 16 meV per atom
formation energy from the elements: -36 meV/atom



DFT (PBE) results for an optimized crystal structure of ScGaTcH2.

Cell: 3.627 5.648 3.627 Å, 90.00 90.00 90.00°
Last column: magnetic moment on the atom in μB.
Positions (direct):
Sc 0.000 0.000 0.000  -0.03
H 0.000 0.000 0.500  0.01
H 0.500 0.000 0.000  0.01
Tc 0.000 0.500 0.000  0.91
Ga 0.500 0.500 0.500  -0.04

total DFT energy (no corrections): -5.05 eV/atom



DFT (PBE) results for an optimized crystal structure of Ba2Si2Br.

Cell: 8.921 8.921 4.346 Å, 90.00 90.00 90.00°
Positions (direct):
Si 0.413 0.913 0.000
Si 0.913 0.587 0.000
Si 0.587 0.087 0.000
Si 0.087 0.413 0.000
Ba 0.195 0.695 0.500
Ba 0.695 0.805 0.500
Ba 0.805 0.305 0.500
Ba 0.305 0.195 0.500
Br 0.000 0.000 0.000
Br 0.500 0.500 0.000

raw formation energy: -673 meV/atom
E above lowest polymorph: 265 meV per atom



DFT (PBE) results for an optimized crystal structure of Cu2AgP.

Cell: 2.852 3.524 5.696 Å, 90.00 90.00 90.00°
Positions (direct):
Ag 0.500 0.500 0.762
Cu 0.000 0.000 0.032
Cu 0.500 0.500 0.260
P 0.000 0.000 0.446

formation energy from the elements: 168 meV/atom



DFT (PBE) results for an optimized crystal structure of Ca2Ag15Pb2.

Cell: 7.430 7.430 7.430 Å, 83.52 83.52 83.52°
Positions (direct):
Ca 0.354 0.354 0.354
Ca 0.646 0.646 0.646
Ag 0.500 0.000 0.000
Ag 0.000 0.000 0.500
Ag 0.000 0.500 0.000
Ag 0.000 0.673 0.327
Ag 0.673 0.327 0.000
Ag 0.327 0.000 0.673
Ag 0.327 0.673 0.000
Ag 0.673 0.000 0.327
Ag 0.000 0.327 0.673
Ag 0.170 0.656 0.656
Ag 0.656 0.656 0.170
Ag 0.656 0.170 0.656
Ag 0.830 0.344 0.344
Ag 0.344 0.344 0.830
Ag 0.344 0.830 0.344
Pb 0.105 0.105 0.105
Pb 0.895 0.895 0.895

formation energy from the elements: -64 meV/atom



DFT (PBE) results for an optimized crystal structure of SiHgTe2.

Cell: 6.139 6.372 3.093 Å, 81.61 78.40 115.65°
Positions (direct):
Hg 0.000 0.500 0.500
Si 0.500 0.500 0.000
Te 0.000 0.000 0.000
Te 0.500 0.000 0.500

raw formation energy: 472 meV/atom
E above lowest polymorph: 414 meV per atom



DFT (PBE) results for an optimized crystal structure of Ca2TcPtN.

Cell: 4.872 4.872 3.868 Å, 90.00 90.00 90.00°
Positions (direct):
Ca 0.000 0.500 0.000
Ca 0.500 0.000 0.000
Tc 0.000 0.000 0.500
Pt 0.500 0.500 0.500
N 0.000 0.000 0.000

raw formation energy: -499 meV/atom



DFT (PBE) results for an optimized crystal structure of BiP5O14.

Cell: 8.866 9.294 13.055 Å, 90.00 90.00 90.00°
Positions (direct):
Bi 0.525 0.937 0.750
Bi 0.475 0.063 0.250
Bi 0.975 0.437 0.250
Bi 0.025 0.563 0.750
P 0.930 0.999 0.750
P 0.070 0.001 0.250
P 0.570 0.499 0.250
P 0.430 0.501 0.750
P 0.757 0.729 0.565
P 0.243 0.271 0.435
P 0.743 0.229 0.435
P 0.243 0.271 0.065
P 0.257 0.771 0.565
P 0.757 0.729 0.935
P 0.257 0.771 0.935
P 0.743 0.229 0.065
P 0.991 0.205 0.583
P 0.009 0.795 0.417
P 0.509 0.705 0.417
P 0.009 0.795 0.083
P 0.491 0.295 0.583
P 0.991 0.205 0.917
P 0.491 0.295 0.917
P 0.509 0.705 0.083
O 0.662 0.657 0.029
O 0.338 0.343 0.971
O 0.838 0.157 0.971
O 0.338 0.343 0.529
O 0.162 0.843 0.029
O 0.662 0.657 0.471
O 0.162 0.843 0.471
O 0.838 0.157 0.529
O 0.010 0.653 0.133
O 0.990 0.347 0.867
O 0.490 0.153 0.867
O 0.990 0.347 0.633
O 0.510 0.847 0.133
O 0.010 0.653 0.367
O 0.510 0.847 0.367
O 0.490 0.153 0.633
O 0.273 0.442 0.750
O 0.727 0.558 0.250
O 0.227 0.942 0.250
O 0.773 0.058 0.750
O 0.826 0.609 0.624
O 0.174 0.391 0.376
O 0.674 0.109 0.376
O 0.174 0.391 0.124
O 0.326 0.891 0.624
O 0.826 0.609 0.876
O 0.326 0.891 0.876
O 0.674 0.109 0.124
O 0.966 0.843 0.750
O 0.034 0.157 0.250
O 0.534 0.343 0.250
O 0.466 0.657 0.750
O 0.884 0.819 0.501
O 0.116 0.181 0.499
O 0.616 0.319 0.499
O 0.116 0.181 0.001
O 0.384 0.681 0.501
O 0.884 0.819 0.999
O 0.384 0.681 0.999
O 0.616 0.319 0.001
O 0.660 0.841 0.613
O 0.340 0.159 0.387
O 0.840 0.341 0.387
O 0.340 0.159 0.113
O 0.160 0.659 0.613
O 0.660 0.841 0.887
O 0.160 0.659 0.887
O 0.840 0.341 0.113
O 0.976 0.929 0.155
O 0.024 0.071 0.845
O 0.524 0.429 0.845
O 0.024 0.071 0.655
O 0.476 0.571 0.155
O 0.976 0.929 0.345
O 0.476 0.571 0.345
O 0.524 0.429 0.655

raw formation energy: -1998 meV/atom



DFT (PBE) results for an optimized crystal structure of Ce2CoBr.

Cell: 3.906 3.906 8.084 Å, 76.02 76.02 60.00°
Last column: magnetic moment on the atom in μB.
Positions (direct):
Ce 0.063 0.063 0.810  0.72
Ce 0.270 0.270 0.190  0.78
Co 0.668 0.668 0.997  -0.20
Br 0.499 0.499 0.503  -0.01

raw formation energy: -696 meV/atom
E above lowest polymorph: 13 meV per atom



DFT (PBE) results for an optimized crystal structure of LaErSb2.

Cell: 4.450 4.450 7.726 Å, 90.00 90.00 120.00°
Positions (direct):
La 0.000 0.500 0.500
Er 0.000 0.500 0.000
Sb 0.667 0.833 0.766
Sb 0.333 0.167 0.234

raw formation energy: -1072 meV/atom
E above lowest polymorph: 108 meV per atom



DFT (PBE) results for an optimized crystal structure of Li2Pt3O8.

Cell: 6.164 6.615 8.722 Å, 90.00 90.00 117.77°
Positions (direct):
Li 0.630 0.259 0.107
Li 0.870 0.741 0.607
Li 0.130 0.259 0.393
Li 0.370 0.741 0.893
Pt 0.617 0.733 0.250
Pt 0.500 0.000 0.500
Pt 0.883 0.267 0.750
Pt 0.117 0.733 0.250
Pt 0.000 0.000 0.000
Pt 0.383 0.267 0.750
O 0.650 0.768 0.023
O 0.618 0.768 0.477
O 0.014 0.028 0.764
O 0.741 0.483 0.755
O 0.486 0.972 0.264
O 0.759 0.517 0.255
O 0.150 0.768 0.477
O 0.882 0.232 0.977
O 0.118 0.768 0.023
O 0.850 0.232 0.523
O 0.986 0.972 0.236
O 0.514 0.028 0.736
O 0.259 0.517 0.245
O 0.241 0.483 0.745
O 0.382 0.232 0.523
O 0.350 0.232 0.977

raw formation energy: -816 meV/atom



DFT (PBE) results for an optimized crystal structure of LaPmGeIr.

Cell: 4.351 4.365 5.683 Å, 90.00 112.51 90.00°
Positions (direct):
La 0.146 0.000 0.292
Pm 0.862 0.500 0.725
Ge 0.565 0.500 0.131
Ir 0.426 0.000 0.852

E above lowest polymorph: 0 meV per atom
formation energy from the elements: -772 meV/atom